This record from Alexandria via LeMat-Bulk describes a relaxed SmTcN2 crystal. The functional is GGA-PBE.

Values from the calculation:
**Total magnetization**: 0.0 μB/cell
**Mass density**: 8.346 Mg/m³
**Excess energy over the best structure of this formula in the dataset**: 0.0 meV per atom

Cell and atoms, written as CIF:
```
data_SmTcN2
_cell_length_a 5.786
_cell_length_b 3.346
_cell_length_c 11.363
_cell_angle_alpha 90.00
_cell_angle_beta 90.00
_cell_angle_gamma 90.00
_symmetry_space_group_name_H-M 'P n m a'
_symmetry_Int_Tables_number 62
loop_
_symmetry_equiv_pos_as_xyz
'x,y,z'
'-x,-y,-z'
'-x+1/2,-y,z+1/2'
'x+1/2,y,-z+1/2'
'x+1/2,-y+1/2,-z+1/2'
'-x+1/2,y+1/2,z+1/2'
'-x,y+1/2,-z'
'x,-y+1/2,z'
loop_
_atom_site_label
_atom_site_fract_x
_atom_site_fract_y
_atom_site_fract_z
Sm1 0.075 0.250 0.156
Tc1 0.101 0.750 0.432
N1 0.233 0.250 0.786
N2 0.241 0.250 0.515
```

This record from Alexandria via LeMat-Bulk describes a relaxed Sm2PbBr crystal. The functional is GGA-PBE.

Values from the calculation:
**Total magnetization**: 0.0 μB/cell
**Mass density**: 7.791 Mg/m³
**Excess energy over the best structure of this formula in the dataset**: 264.4 meV per atom

Cell and atoms, written as CIF:
```
data_Sm2PbBr
_cell_length_a 3.6200
_cell_length_b 3.6200
_cell_length_c 33.1190
_cell_angle_alpha 90.00
_cell_angle_beta 90.00
_cell_angle_gamma 120.00
_symmetry_space_group_name_H-M 'R -3 m'
_symmetry_Int_Tables_number 166
_symmetry_space_group_name_Hall '-R 3 2"'
loop_
_atom_site_label
_atom_site_fract_x
_atom_site_fract_y
_atom_site_fract_z
Sm1 0.0000 0.0000 0.0955
Pb1 0.0000 0.0000 0.0000
Br1 0.0000 0.0000 0.5000
```

This record from Alexandria via LeMat-Bulk describes a relaxed HgPtRh crystal. The functional is GGA-PBE.

Values from the calculation:
**Total magnetization**: 1.4 μB/cell
**Mass density**: 16.377 Mg/m³
**Excess energy over the best structure of this formula in the dataset**: 0.0 meV per atom

Cell and atoms, written as CIF:
```
data_HgPtRh
_cell_length_a 2.904
_cell_length_b 2.904
_cell_length_c 11.987
_cell_angle_alpha 90.00
_cell_angle_beta 90.00
_cell_angle_gamma 90.00
_symmetry_space_group_name_H-M 'I 4 m m'
_symmetry_Int_Tables_number 107
_symmetry_space_group_name_Hall 'I 4 -2'
loop_
_atom_site_label
_atom_site_fract_x
_atom_site_fract_y
_atom_site_fract_z
Hg1 0.000 0.000 0.000
Pt1 0.000 0.000 0.321
Rh1 0.000 0.000 0.671
```

This record from Alexandria via LeMat-Bulk describes a relaxed Ac2ZrAs3Rh4 crystal. The functional is GGA-PBE.

Values from the calculation:
**Total magnetization**: 0.0 μB/cell
**Mass density**: 9.674 Mg/m³

Cell and atoms, written as CIF:
```
data_Ac2ZrAs3Rh4
_cell_length_a 4.265
_cell_length_b 4.265
_cell_length_c 11.147
_cell_angle_alpha 90.00
_cell_angle_beta 90.00
_cell_angle_gamma 90.00
_symmetry_space_group_name_H-M 'P -4 m 2'
_symmetry_Int_Tables_number 115
loop_
_symmetry_equiv_pos_as_xyz
'x,y,z'
'y,-x,-z'
'-x,-y,z'
'-y,x,-z'
'-x,y,z'
'-y,-x,-z'
'x,-y,z'
'y,x,-z'
loop_
_atom_site_label
_atom_site_fract_x
_atom_site_fract_y
_atom_site_fract_z
Ac1 0.000 0.500 0.235
Zr1 0.000 0.000 0.500
As1 0.000 0.500 0.871
As2 0.500 0.500 0.500
Rh1 0.000 0.000 0.000
Rh2 0.000 0.500 0.642
Rh3 0.500 0.500 0.000
```

This record from Alexandria via LeMat-Bulk describes a relaxed NpTi3Se6 crystal. The functional is GGA-PBE.

Values from the calculation:
**Total magnetization**: 12.1 μB/cell
**Mass density**: 6.747 Mg/m³

Cell and atoms, written as CIF:
```
data_NpTi3Se6
_cell_length_a 10.794
_cell_length_b 3.735
_cell_length_c 11.021
_cell_angle_alpha 90.00
_cell_angle_beta 108.79
_cell_angle_gamma 90.00
_symmetry_space_group_name_H-M 'P 1 21/m 1'
_symmetry_Int_Tables_number 11
loop_
_symmetry_equiv_pos_as_xyz
'x,y,z'
'-x,-y,-z'
'-x,y+1/2,-z'
'x,-y+1/2,z'
loop_
_atom_site_label
_atom_site_fract_x
_atom_site_fract_y
_atom_site_fract_z
Np1 0.049 0.250 0.202
Ti1 0.137 0.250 0.580
Ti2 0.322 0.750 0.992
Ti3 0.445 0.250 0.358
Se1 0.096 0.750 0.411
Se2 0.133 0.250 0.969
Se3 0.204 0.750 0.746
Se4 0.280 0.750 0.228
Se5 0.381 0.250 0.564
Se6 0.481 0.250 0.118
```

This record from Alexandria via LeMat-Bulk describes a relaxed Ba3Ni5Cl12 crystal. The functional is GGA-PBE.

Values from the calculation:
**Total magnetization**: 48.0 μB/cell
**Mass density**: 3.818 Mg/m³

Cell and atoms, written as CIF:
```
data_Ba3Ni5Cl12
_cell_length_a 15.788
_cell_length_b 15.788
_cell_length_c 15.788
_cell_angle_alpha 90.00
_cell_angle_beta 90.00
_cell_angle_gamma 90.00
_symmetry_space_group_name_H-M 'I a -3 d'
_symmetry_Int_Tables_number 230
_symmetry_space_group_name_Hall '-I 4bd 2c 3'
loop_
_atom_site_label
_atom_site_fract_x
_atom_site_fract_y
_atom_site_fract_z
Ba1 0.000 0.250 0.125
Ni1 0.000 0.000 0.000
Ni2 0.000 0.250 0.375
Cl1 0.036 0.050 0.645
```

This record from Alexandria via LeMat-Bulk describes a relaxed Co3TeP crystal. The functional is GGA-PBE.

Values from the calculation:
**Total magnetization**: 2.6 μB/cell
**Mass density**: 5.656 Mg/m³
**Excess energy over the best structure of this formula in the dataset**: 1144.5 meV per atom

Cell and atoms, written as CIF:
```
data_Co3TeP
_cell_length_a 4.618
_cell_length_b 4.618
_cell_length_c 4.618
_cell_angle_alpha 90.00
_cell_angle_beta 90.00
_cell_angle_gamma 90.00
_symmetry_space_group_name_H-M 'P m -3 m'
_symmetry_Int_Tables_number 221
_symmetry_space_group_name_Hall '-P 4 2 3'
loop_
_atom_site_label
_atom_site_fract_x
_atom_site_fract_y
_atom_site_fract_z
Co1 0.000 0.000 0.500
Te1 0.000 0.000 0.000
P1 0.500 0.500 0.500
```

This record from Alexandria via LeMat-Bulk describes a relaxed BeS2BrCl crystal. The functional is GGA-PBE.

Values from the calculation:
**Total magnetization**: 0.0 μB/cell
**Mass density**: 2.602 Mg/m³
**Excess energy over the best structure of this formula in the dataset**: 921.7 meV per atom

Cell and atoms, written as CIF:
```
data_BeS2BrCl
_cell_length_a 4.862
_cell_length_b 4.862
_cell_length_c 5.088
_cell_angle_alpha 90.00
_cell_angle_beta 90.00
_cell_angle_gamma 90.00
_symmetry_space_group_name_H-M 'P 4/m m m'
_symmetry_Int_Tables_number 123
_symmetry_space_group_name_Hall '-P 4 2'
loop_
_atom_site_label
_atom_site_fract_x
_atom_site_fract_y
_atom_site_fract_z
Be1 0.000 0.000 0.000
S1 0.000 0.500 0.500
Br1 0.500 0.500 0.500
Cl1 0.500 0.500 0.000
```

This record from Alexandria via LeMat-Bulk describes a relaxed Tl2CdHgPt crystal. The functional is GGA-PBE.

Values from the calculation:
**Total magnetization**: 0.0 μB/cell
**Mass density**: 9.878 Mg/m³
**Excess energy over the best structure of this formula in the dataset**: 93.9 meV per atom

Cell and atoms, written as CIF:
```
data_Tl2CdHgPt
_cell_length_a 5.347
_cell_length_b 5.347
_cell_length_c 5.390
_cell_angle_alpha 90.00
_cell_angle_beta 90.00
_cell_angle_gamma 90.00
_symmetry_space_group_name_H-M 'P 4/m m m'
_symmetry_Int_Tables_number 123
_symmetry_space_group_name_Hall '-P 4 2'
loop_
_atom_site_label
_atom_site_fract_x
_atom_site_fract_y
_atom_site_fract_z
Tl1 0.000 0.500 0.000
Cd1 0.000 0.000 0.500
Hg1 0.500 0.500 0.500
Pt1 0.500 0.500 0.000
```

This record from Alexandria via LeMat-Bulk describes a relaxed AuI2N crystal. The functional is GGA-PBE.

Values from the calculation:
**Total magnetization**: 0.0 μB/cell
**Mass density**: 8.843 Mg/m³
**Excess energy over the best structure of this formula in the dataset**: 648.6 meV per atom

Cell and atoms, written as CIF:
```
data_AuI2N
_cell_length_a 7.041
_cell_length_b 7.041
_cell_length_c 7.041
_cell_angle_alpha 90.00
_cell_angle_beta 90.00
_cell_angle_gamma 90.00
_symmetry_space_group_name_H-M 'F m -3 m'
_symmetry_Int_Tables_number 225
_symmetry_space_group_name_Hall '-F 4 2 3'
loop_
_atom_site_label
_atom_site_fract_x
_atom_site_fract_y
_atom_site_fract_z
Au1 0.000 0.000 0.000
I1 0.250 0.250 0.250
N1 0.000 0.000 0.500
```

This record from Alexandria via LeMat-Bulk describes a relaxed SrZrMn2Cu crystal. The functional is GGA-PBE.

Values from the calculation:
**Total magnetization**: 5.6 μB/cell
**Mass density**: 4.150 Mg/m³

Cell and atoms, written as CIF:
```
data_SrZrMn2Cu
_cell_length_a 4.807
_cell_length_b 4.807
_cell_length_c 6.099
_cell_angle_alpha 90.00
_cell_angle_beta 90.00
_cell_angle_gamma 90.00
_symmetry_space_group_name_H-M 'P 4/m m m'
_symmetry_Int_Tables_number 123
_symmetry_space_group_name_Hall '-P 4 2'
loop_
_atom_site_label
_atom_site_fract_x
_atom_site_fract_y
_atom_site_fract_z
Sr1 0.000 0.000 0.000
Zr1 0.000 0.000 0.500
Mn1 0.000 0.500 0.500
Cu1 0.500 0.500 0.000
```

This record from Alexandria via LeMat-Bulk describes a relaxed NdPuSc2S4 crystal. The functional is GGA-PBE.

Values from the calculation:
**Total magnetization**: 5.8 μB/cell
**Mass density**: 6.222 Mg/m³

Cell and atoms, written as CIF:
```
data_NdPuSc2S4
_cell_length_a 6.655
_cell_length_b 3.822
_cell_length_c 6.727
_cell_angle_alpha 90.00
_cell_angle_beta 108.95
_cell_angle_gamma 90.00
_symmetry_space_group_name_H-M 'P 1 2/m 1'
_symmetry_Int_Tables_number 10
loop_
_symmetry_equiv_pos_as_xyz
'x,y,z'
'-x,-y,-z'
'-x,y,-z'
'x,-y,z'
loop_
_atom_site_label
_atom_site_fract_x
_atom_site_fract_y
_atom_site_fract_z
Nd1 0.000 0.000 0.000
Pu1 0.500 0.500 0.000
Sc1 0.000 0.500 0.500
Sc2 0.500 0.000 0.500
S1 0.247 0.000 0.728
S2 0.263 0.500 0.276
```

This record from Alexandria via LeMat-Bulk describes a relaxed SrH4S3O12 crystal. The functional is GGA-PBE.

Values from the calculation:
**Total magnetization**: 0.0 μB/cell
**Mass density**: 2.452 Mg/m³

Cell and atoms, written as CIF:
```
data_SrH4S3O12
_cell_length_a 5.991
_cell_length_b 8.718
_cell_length_c 10.540
_cell_angle_alpha 81.25
_cell_angle_beta 83.94
_cell_angle_gamma 71.35
_symmetry_space_group_name_H-M 'P -1'
_symmetry_Int_Tables_number 2
loop_
_symmetry_equiv_pos_as_xyz
'x,y,z'
'-x,-y,-z'
loop_
_atom_site_label
_atom_site_fract_x
_atom_site_fract_y
_atom_site_fract_z
Sr1 0.001 0.263 0.438
H1 0.034 0.963 0.869
H2 0.234 0.604 0.136
H3 0.449 0.216 0.653
H4 0.496 0.145 0.096
S1 0.119 0.229 0.067
S2 0.342 0.992 0.675
S3 0.377 0.550 0.326
O1 0.007 0.691 0.046
O2 0.041 0.304 0.184
O3 0.128 0.045 0.095
O4 0.159 0.971 0.603
O5 0.174 0.502 0.392
O6 0.293 0.958 0.816
O7 0.303 0.181 0.642
O8 0.340 0.722 0.347
O9 0.381 0.211 0.027
O10 0.384 0.541 0.179
O11 0.394 0.560 0.637
O12 0.416 0.096 0.363
```

This record from Alexandria via LeMat-Bulk describes a relaxed Pr2Co2Ru crystal. The functional is GGA-PBE.

Values from the calculation:
**Total magnetization**: 0.0 μB/cell
**Mass density**: 8.299 Mg/m³
**Excess energy over the best structure of this formula in the dataset**: 0.0 meV per atom

Cell and atoms, written as CIF:
```
data_Pr2Co2Ru
_cell_length_a 9.201
_cell_length_b 5.599
_cell_length_c 7.964
_cell_angle_alpha 90.00
_cell_angle_beta 102.38
_cell_angle_gamma 90.00
_symmetry_space_group_name_H-M 'C 1 2/c 1'
_symmetry_Int_Tables_number 15
loop_
_symmetry_equiv_pos_as_xyz
'x,y,z'
'-x,-y,-z'
'-x,y,-z+1/2'
'x,-y,z+1/2'
'x+1/2,y+1/2,z'
'-x+1/2,-y+1/2,-z'
'-x+1/2,y+1/2,-z+1/2'
'x+1/2,-y+1/2,z+1/2'
loop_
_atom_site_label
_atom_site_fract_x
_atom_site_fract_y
_atom_site_fract_z
Pr1 0.154 0.109 0.155
Co1 0.112 0.387 0.501
Ru1 0.000 0.382 0.750
```

This record from Alexandria via LeMat-Bulk describes a relaxed SbIrBr2 crystal. The functional is GGA-PBE.

Values from the calculation:
**Total magnetization**: 0.4 μB/cell
**Mass density**: 8.196 Mg/m³
**Excess energy over the best structure of this formula in the dataset**: 1133.6 meV per atom

Cell and atoms, written as CIF:
```
data_SbIrBr2
_cell_length_a 3.108
_cell_length_b 3.282
_cell_length_c 9.409
_cell_angle_alpha 90.00
_cell_angle_beta 90.00
_cell_angle_gamma 90.00
_symmetry_space_group_name_H-M 'P m m m'
_symmetry_Int_Tables_number 47
loop_
_symmetry_equiv_pos_as_xyz
'x,y,z'
'-x,-y,-z'
'-x,-y,z'
'x,y,-z'
'x,-y,-z'
'-x,y,z'
'-x,y,-z'
'x,-y,z'
loop_
_atom_site_label
_atom_site_fract_x
_atom_site_fract_y
_atom_site_fract_z
Sb1 0.000 0.000 0.000
Ir1 0.000 0.000 0.500
Br1 0.500 0.500 0.325
```

This record from Alexandria via LeMat-Bulk describes a relaxed SmReP2 crystal. The functional is GGA-PBE.

Values from the calculation:
**Total magnetization**: 0.0 μB/cell
**Mass density**: 8.416 Mg/m³
**Excess energy over the best structure of this formula in the dataset**: 0.0 meV per atom

Cell and atoms, written as CIF:
```
data_SmReP2
_cell_length_a 3.425
_cell_length_b 3.846
_cell_length_c 6.469
_cell_angle_alpha 107.24
_cell_angle_beta 104.24
_cell_angle_gamma 90.10
_symmetry_space_group_name_H-M 'P 1'
_symmetry_Int_Tables_number 1
loop_
_symmetry_equiv_pos_as_xyz
'x,y,z'
loop_
_atom_site_label
_atom_site_fract_x
_atom_site_fract_y
_atom_site_fract_z
Sm1 0.000 0.000 0.000
Re1 0.763 0.247 0.496
P1 0.387 0.386 0.769
P2 0.807 0.651 0.304
```

This record from Alexandria via LeMat-Bulk describes a relaxed Ce3MgTl4S8 crystal. The functional is GGA-PBE.

Values from the calculation:
**Total magnetization**: 6.1 μB/cell
**Mass density**: 5.802 Mg/m³

Cell and atoms, written as CIF:
```
data_Ce3MgTl4S8
_cell_length_a 8.1961
_cell_length_b 8.1961
_cell_length_c 22.4127
_cell_angle_alpha 90.00
_cell_angle_beta 90.00
_cell_angle_gamma 120.00
_symmetry_space_group_name_H-M 'R -3 m'
_symmetry_Int_Tables_number 166
_symmetry_space_group_name_Hall '-R 3 2"'
loop_
_atom_site_label
_atom_site_fract_x
_atom_site_fract_y
_atom_site_fract_z
Ce1 0.0000 0.5000 0.0000
Mg1 0.0000 0.0000 0.0000
Tl1 0.0000 0.0000 0.5000
Tl2 0.0000 0.5000 0.5000
S1 0.0000 0.0000 0.2654
S2 0.0074 0.5037 0.7320
```

This record from Alexandria via LeMat-Bulk describes a relaxed MnGaBr3 crystal. The functional is GGA-PBE.

Values from the calculation:
**Total magnetization**: 10.0 μB/cell
**Mass density**: 3.533 Mg/m³
**Excess energy over the best structure of this formula in the dataset**: 1.5 meV per atom

Cell and atoms, written as CIF:
```
data_MnGaBr3
_cell_length_a 7.166
_cell_length_b 7.542
_cell_length_c 7.627
_cell_angle_alpha 111.04
_cell_angle_beta 93.31
_cell_angle_gamma 113.63
_symmetry_space_group_name_H-M 'P -1'
_symmetry_Int_Tables_number 2
loop_
_symmetry_equiv_pos_as_xyz
'x,y,z'
'-x,-y,-z'
loop_
_atom_site_label
_atom_site_fract_x
_atom_site_fract_y
_atom_site_fract_z
Mn1 0.210 0.399 0.459
Ga1 0.316 0.091 0.963
Br1 0.082 0.000 0.251
Br2 0.108 0.602 0.755
Br3 0.483 0.585 0.301
```

This record from Alexandria via LeMat-Bulk describes a relaxed Sr2OsPtO8 crystal. The functional is GGA-PBE.

Values from the calculation:
**Total magnetization**: 2.0 μB/cell
**Mass density**: 6.384 Mg/m³

Cell and atoms, written as CIF:
```
data_Sr2OsPtO8
_cell_length_a 4.756
_cell_length_b 5.257
_cell_length_c 7.219
_cell_angle_alpha 85.32
_cell_angle_beta 89.29
_cell_angle_gamma 84.62
_symmetry_space_group_name_H-M 'P -1'
_symmetry_Int_Tables_number 2
loop_
_symmetry_equiv_pos_as_xyz
'x,y,z'
'-x,-y,-z'
loop_
_atom_site_label
_atom_site_fract_x
_atom_site_fract_y
_atom_site_fract_z
Sr1 0.141 0.011 0.258
Os1 0.500 0.500 0.500
Pt1 0.500 0.500 0.000
O1 0.189 0.712 0.554
O2 0.266 0.806 0.957
O3 0.329 0.453 0.256
O4 0.336 0.222 0.610
```

| no. | raw total energy (eV/atom) |
| --- | --- |
| 1 | -8.692 |
| 2 | -4.196 |
| 3 | -4.440 |
| 4 | -6.935 |
| 5 | -6.849 |
| 6 | -4.062 |
| 7 | -4.583 |
| 8 | -1.869 |
| 9 | -2.380 |
| 10 | -1.954 |
| 11 | -5.185 |
| 12 | -7.913 |
| 13 | -5.833 |
| 14 | -6.661 |
| 15 | -3.241 |
| 16 | -7.572 |
| 17 | -5.157 |
| 18 | -4.105 |
| 19 | -6.483 |